P | DFT (PBE) results for an optimized crystal structure of Sm2YTm8.

Properties
mass density: 8.296 g/cm³
density of states at the Fermi level: 15.40 states/eV/f.u.
crystal system: monoclinic

Unit cell a=9.215 b=9.215 c=5.834 alpha=106.12 beta=106.12 gamma=121.35
Atoms (fractional coordinates):
Sm (0.192, 0.808, 0.000)
Sm (0.808, 0.192, 0.000)
Y (0.500, 0.500, 0.500)
Tm (0.062, 0.062, 0.293)
Tm (0.165, 0.403, 0.817)
Tm (0.294, 0.706, 0.500)
Tm (0.403, 0.165, 0.817)
Tm (0.597, 0.835, 0.183)
Tm (0.706, 0.294, 0.500)
Tm (0.835, 0.597, 0.183)
Tm (0.938, 0.938, 0.707)

=====

Q | DFT (PBE) results for an optimized crystal structure of Sm2YTm8.

Properties
mass density: 8.298 g/cm³
density of states at the Fermi level: 17.01 states/eV/f.u.
crystal system: monoclinic

Unit cell a=8.836 b=8.836 c=6.581 alpha=99.32 beta=99.32 gamma=43.52
Atoms (fractional coordinates):
Sm (0.244, 0.244, 0.312)
Sm (0.756, 0.756, 0.688)
Y (0.000, 0.000, 0.000)
Tm (0.174, 0.651, 0.596)
Tm (0.202, 0.202, 0.803)
Tm (0.349, 0.826, 0.404)
Tm (0.412, 0.412, 0.097)
Tm (0.588, 0.588, 0.903)
Tm (0.651, 0.174, 0.596)
Tm (0.798, 0.798, 0.197)
Tm (0.826, 0.349, 0.404)

=====

In eV/atom, relative to the most stable structure: P 0.000; Q 0.017.